Compound: NiMoO4
Source: the Alexandria database
Functional: GGA+U
Structure: relaxed

Output
* theoretical density: 5.463 g cm⁻³
* V: 132.91 Å³ per cell
* uncorrected energy: -6.353 eV per atom

Geometry as CIF:
```
data_NiMoO4
_chemical_formula_sum 'Ni2 Mo2 O8'
_symmetry_space_group_name_H-M 'P 1'
_symmetry_Int_Tables_number 1
_cell_length_a 4.6556
_cell_length_b 4.9663
_cell_length_c 5.7483
_cell_angle_alpha 90.00
_cell_angle_beta 90.01
_cell_angle_gamma 90.10
loop_
_symmetry_equiv_pos_as_xyz
'x,y,z'
loop_
_atom_site_label
_atom_site_type_symbol
_atom_site_fract_x
_atom_site_fract_y
_atom_site_fract_z
Ni1 Ni 0.5002 0.2498 0.8395
O1 O 0.2202 0.0678 0.6093
O2 O 0.2201 0.5679 0.3908
O3 O 0.7412 0.9036 0.8777
Mo1 Mo 0.9999 0.2500 0.3188
Mo2 Mo 0.0001 0.7500 0.6812
Ni2 Ni 0.4998 0.7502 0.1605
O4 O 0.7799 0.4321 0.6092
O5 O 0.7411 0.4037 0.1223
O6 O 0.2589 0.5963 0.8777
O7 O 0.7798 0.9322 0.3907
O8 O 0.2588 0.0964 0.1223
```